A:
A plane-wave DFT calculation with GGA-PBEsol was carried out for a geometry-optimized MgCo2Se structure.

POSCAR file:
```
MgCo2Se
1.0
-0.289 1.115 4.118
-3.834 0.671 1.770
-1.549 -2.774 2.863
Co Se Mg
2 1 1
direct
0.000 0.000 0.000
0.750 0.750 0.750
0.250 0.250 0.250
0.500 0.500 0.500
```

Output
Theoretical density, g/cm³: 6.641

B:
A plane-wave DFT calculation with GGA-PBEsol was carried out for a geometry-optimized MgCo2Se structure.

POSCAR file:
```
MgCo2Se
1.0
3.718 0.000 0.000
0.000 3.718 0.000
-1.859 -1.859 3.837
Se Co Mg
1 2 1
direct
0.000 0.000 0.000
0.750 0.250 0.500
0.250 0.750 0.500
0.500 0.500 0.000
```

Output
Theoretical density, g/cm³: 6.923

Stability, highest: B

A:
A plane-wave DFT calculation with GGA-PBEsol was carried out for a geometry-optimized MgTaCo structure.

POSCAR file:
```
MgTaCo
1.0
-2.679 0.616 -0.933
-0.811 -2.738 0.521
0.278 2.476 5.352
Ta Mg Co
1 1 1
direct
0.639 0.639 0.278
0.351 0.351 0.703
0.010 0.010 0.020
```

Output
Theoretical density, g/cm³: 9.405

B:
A plane-wave DFT calculation with GGA-PBEsol was carried out for a geometry-optimized MgTaCo structure.

POSCAR file:
```
MgTaCo
1.0
4.151 0.000 0.000
2.076 3.595 0.000
2.076 1.198 3.389
Mg Co Ta
1 1 1
direct
0.250 0.250 0.250
0.500 0.500 0.500
0.000 0.000 0.000
```

Output
Theoretical density, g/cm³: 8.673

Stability, highest: A

A:
A plane-wave DFT calculation with GGA-PBEsol was carried out for a geometry-optimized Mg2CoTc structure.

POSCAR file:
```
Mg2CoTc
1.0
2.591 0.000 0.000
0.000 5.014 -0.030
0.000 -2.097 4.555
Mg Co Tc
2 1 1
direct
0.000 0.000 0.500
0.000 0.500 0.000
0.500 0.500 0.500
0.500 0.000 0.000
```

Output
Theoretical density, g/cm³: 5.785

B:
A plane-wave DFT calculation with GGA-PBEsol was carried out for a geometry-optimized Mg2CoTc structure.

POSCAR file:
```
Mg2CoTc
1.0
-0.153 1.744 -1.927
0.878 -3.120 -2.893
-4.966 -1.717 0.346
Co Mg Tc
1 2 1
direct
0.000 0.500 0.500
0.206 0.000 0.254
0.794 0.000 0.746
0.500 0.500 0.000
```

Output
Theoretical density, g/cm³: 5.863

Stability, highest: B

A:
A plane-wave DFT calculation with GGA-PBEsol was carried out for a geometry-optimized MgZrCo structure.

POSCAR file:
```
MgZrCo
1.0
-0.924 2.898 -0.659
-2.267 -1.133 -1.806
-1.741 -0.979 5.481
Mg Zr Co
1 1 1
direct
0.357 0.357 0.714
0.633 0.633 0.267
0.010 0.010 0.020
```

Output
Theoretical density, g/cm³: 5.536

B:
A plane-wave DFT calculation with GGA-PBEsol was carried out for a geometry-optimized MgZrCo structure.

POSCAR file:
```
MgZrCo
1.0
3.205 0.000 0.000
-1.602 2.775 0.000
0.000 0.000 6.242
Co Zr Mg
1 1 1
direct
0.000 0.000 0.019
0.667 0.333 0.273
0.333 0.667 0.708
```

Output
Theoretical density, g/cm³: 5.218

C:
A plane-wave DFT calculation with GGA-PBEsol was carried out for a geometry-optimized MgZrCo structure.

POSCAR file:
```
MgZrCo
1.0
4.373 0.000 0.000
2.187 3.787 0.000
2.187 1.262 3.571
Zr Mg Co
1 1 1
direct
0.250 0.250 0.250
0.500 0.500 0.500
0.000 0.000 0.000
```

Output
Theoretical density, g/cm³: 4.898

Stability, highest: A

A:
A plane-wave DFT calculation with GGA-PBEsol was carried out for a geometry-optimized MnCoMo2 structure.

POSCAR file:
```
MnCoMo2
1.0
-1.735 0.374 -1.953
-1.994 -1.695 -0.336
-6.206 4.343 4.564
Mo Mn Co
2 1 1
direct
0.757 0.757 0.729
0.994 0.994 0.017
0.244 0.244 0.267
0.505 0.505 0.486
```

Output
Theoretical density, g/cm³: 9.664

B:
A plane-wave DFT calculation with GGA-PBEsol was carried out for a geometry-optimized MnCoMo2 structure.

POSCAR file:
```
MnCoMo2
1.0
-2.606 0.719 1.408
-0.080 -3.753 1.770
3.478 2.982 1.615
Mo Mn Co
2 1 1
direct
0.995 0.995 0.989
0.745 0.245 0.491
0.255 0.755 0.510
0.505 0.505 0.010
```

Output
Theoretical density, g/cm³: 9.742

C:
A plane-wave DFT calculation with GGA-PBEsol was carried out for a geometry-optimized MnCoMo2 structure.

POSCAR file:
```
MnCoMo2
1.0
3.728 0.000 0.000
0.000 3.728 0.000
-1.864 -1.864 3.686
Mo Co Mn
2 1 1
direct
0.750 0.250 0.500
0.250 0.750 0.500
0.500 0.500 0.000
0.000 0.000 0.000
```

Output
Theoretical density, g/cm³: 9.910

Stability, highest: C

A:
A plane-wave DFT calculation with GGA-PBEsol was carried out for a geometry-optimized Mn2CoNi structure.

POSCAR file:
```
Mn2CoNi
1.0
-1.260 3.791 0.524
-1.120 2.208 -3.178
-3.883 0.925 -0.542
Ni Mn Co
1 2 1
direct
0.500 0.500 0.500
0.750 0.750 0.750
0.250 0.250 0.250
0.000 0.000 0.000
```

Output
Theoretical density, g/cm³: 8.171

B:
A plane-wave DFT calculation with GGA-PBEsol was carried out for a geometry-optimized Mn2CoNi structure.

POSCAR file:
```
Mn2CoNi
1.0
2.379 0.000 0.031
0.000 4.030 0.000
-0.587 0.000 4.428
Mn Co Ni
2 1 1
direct
0.234 0.000 0.252
0.766 0.000 0.748
0.000 0.500 0.500
0.500 0.500 0.000
```

Output
Theoretical density, g/cm³: 8.883

Stability, highest: A

A:
A plane-wave DFT calculation with GGA-PBEsol was carried out for a geometry-optimized Mn2CoNi structure.

POSCAR file:
```
Mn2CoNi
1.0
3.479 0.000 0.000
0.000 3.480 0.000
-1.740 -1.740 3.530
Ni Mn Co
1 2 1
direct
0.500 0.500 0.000
0.750 0.250 0.500
0.000 0.000 0.000
0.250 0.750 0.500
```

Output
Theoretical density, g/cm³: 8.838

B:
A plane-wave DFT calculation with GGA-PBEsol was carried out for a geometry-optimized Mn2CoNi structure.

POSCAR file:
```
Mn2CoNi
1.0
-1.000 -1.461 1.639
-1.065 -2.452 -2.835
3.726 -2.092 0.408
Mn Ni Co
2 1 1
direct
0.000 0.000 0.035
0.000 0.500 0.717
0.500 0.000 0.534
0.500 0.500 0.214
```

Output
Theoretical density, g/cm³: 9.360

Stability, highest: A

A:
A plane-wave DFT calculation with GGA-PBEsol was carried out for a geometry-optimized Mn3CoO8 structure.

POSCAR file:
```
Mn3CoO8
1.0
-3.488 1.166 -4.197
-5.437 0.604 1.103
-2.260 5.094 -0.291
O Mn Co
8 3 1
direct
0.265 0.265 0.709
0.735 0.735 0.291
0.291 0.735 0.735
0.262 0.262 0.262
0.265 0.709 0.265
0.735 0.291 0.735
0.738 0.738 0.738
0.709 0.265 0.265
0.500 0.000 0.500
0.000 0.500 0.500
0.500 0.500 0.000
0.500 0.500 0.500
```

Output
Theoretical density, g/cm³: 4.637

B:
A plane-wave DFT calculation with GGA-PBEsol was carried out for a geometry-optimized Mn3CoO8 structure.

POSCAR file:
```
Mn3CoO8
1.0
-1.015 -5.503 0.109
3.729 2.086 -3.615
6.170 -1.024 5.774
O Mn Co
16 6 2
direct
0.522 0.045 0.658
0.955 0.478 0.658
0.169 0.338 0.899
0.831 0.662 0.399
0.667 0.333 0.906
0.000 0.000 0.679
0.333 0.667 0.406
0.169 0.831 0.899
0.478 0.955 0.158
0.338 0.169 0.399
0.045 0.522 0.158
0.522 0.478 0.658
0.478 0.522 0.158
0.662 0.831 0.899
0.831 0.169 0.399
0.000 0.000 0.179
0.665 0.833 0.291
0.167 0.335 0.291
0.833 0.167 0.791
0.335 0.167 0.791
0.833 0.665 0.791
0.167 0.833 0.291
0.333 0.667 0.013
0.667 0.333 0.513
```

Output
Theoretical density, g/cm³: 5.059

Stability, highest: B

A:
A plane-wave DFT calculation with GGA-PBEsol was carried out for a geometry-optimized MnCoRe2 structure.

POSCAR file:
```
MnCoRe2
1.0
2.628 0.000 0.000
0.000 4.195 0.000
0.000 0.000 4.485
Mn Re Co
1 2 1
direct
0.500 0.500 0.209
0.000 0.500 0.696
0.000 0.000 0.052
0.500 0.000 0.544
```

Output
Theoretical density, g/cm³: 16.333

B:
A plane-wave DFT calculation with GGA-PBEsol was carried out for a geometry-optimized MnCoRe2 structure.

POSCAR file:
```
MnCoRe2
1.0
-0.568 1.705 3.135
-1.305 -3.145 1.474
3.424 -0.900 1.110
Re Co Mn
2 1 1
direct
0.000 0.500 0.000
0.000 0.000 0.500
0.500 0.500 0.500
0.500 0.000 0.000
```

Output
Theoretical density, g/cm³: 16.234

Stability, highest: A

A:
A plane-wave DFT calculation with GGA-PBEsol was carried out for a geometry-optimized Mn2CoRh structure.

POSCAR file:
```
Mn2CoRh
1.0
-0.172 -1.111 -3.948
1.176 -3.769 -1.125
-2.796 -2.737 -1.242
Rh Mn Co
1 2 1
direct
0.500 0.500 0.500
0.250 0.250 0.250
0.750 0.750 0.750
0.000 0.000 0.000
```

Output
Theoretical density, g/cm³: 9.223

B:
A plane-wave DFT calculation with GGA-PBEsol was carried out for a geometry-optimized Mn2CoRh structure.

POSCAR file:
```
Mn2CoRh
1.0
-3.419 -0.749 -0.736
0.084 -2.692 2.353
0.613 3.969 1.801
Rh Mn Co
1 2 1
direct
0.000 0.000 0.000
0.500 0.500 0.000
0.250 0.750 0.500
0.750 0.250 0.500
```

Output
Theoretical density, g/cm³: 9.793

Stability, highest: B

A:
A plane-wave DFT calculation with GGA-PBEsol was carried out for a geometry-optimized Mn2CoRh structure.

POSCAR file:
```
Mn2CoRh
1.0
2.522 0.000 0.000
0.000 2.522 0.000
0.000 0.000 7.020
Mn Rh Co
2 1 1
direct
0.000 0.000 0.737
0.000 0.000 0.263
0.500 0.500 0.000
0.500 0.500 0.500
```

Output
Theoretical density, g/cm³: 10.106

B:
A plane-wave DFT calculation with GGA-PBEsol was carried out for a geometry-optimized Mn2CoRh structure.

POSCAR file:
```
Mn2CoRh
1.0
2.565 -0.018 0.000
-0.976 2.372 0.000
0.000 0.000 7.992
Rh Mn Co
1 2 1
direct
0.500 0.500 0.500
0.000 0.000 0.761
0.000 0.000 0.239
0.500 0.500 0.000
```

Output
Theoretical density, g/cm³: 9.309

Stability, highest: A

A:
A plane-wave DFT calculation with GGA-PBEsol was carried out for a geometry-optimized MnCoRu2 structure.

POSCAR file:
```
MnCoRu2
1.0
-2.329 -1.072 -0.298
1.526 -3.520 0.743
0.310 1.126 4.700
Ru Co Mn
2 1 1
direct
0.293 0.500 0.585
0.957 0.000 0.914
0.692 0.000 0.383
0.561 0.500 0.122
```

Output
Theoretical density, g/cm³: 11.147

B:
A plane-wave DFT calculation with GGA-PBEsol was carried out for a geometry-optimized MnCoRu2 structure.

POSCAR file:
```
MnCoRu2
1.0
2.571 0.000 0.000
0.000 2.571 0.000
0.000 0.000 7.165
Mn Ru Co
1 2 1
direct
0.500 0.500 0.739
0.000 0.000 0.989
0.500 0.500 0.261
0.000 0.000 0.511
```

Output
Theoretical density, g/cm³: 11.082

Stability, highest: A

A:
A plane-wave DFT calculation with GGA-PBEsol was carried out for a geometry-optimized ScMn2Co structure.

POSCAR file:
```
ScMn2Co
1.0
2.612 -0.020 0.000
-0.748 4.511 0.000
-0.932 -2.246 4.186
Mn Sc Co
2 1 1
direct
0.000 0.000 0.500
0.500 0.500 0.500
0.000 0.500 0.000
0.500 0.000 0.000
```

Output
Theoretical density, g/cm³: 7.206

B:
A plane-wave DFT calculation with GGA-PBEsol was carried out for a geometry-optimized ScMn2Co structure.

POSCAR file:
```
ScMn2Co
1.0
-0.010 -2.760 -0.190
-0.116 -1.544 2.292
-8.013 -1.380 0.334
Mn Co Sc
2 1 1
direct
0.000 0.000 0.999
0.742 0.742 0.775
0.257 0.257 0.230
0.501 0.501 0.496
```

Output
Theoretical density, g/cm³: 6.712

Stability, highest: A